DFT (PBE) results for Sm3SN2 after structural relaxation.

## Properties
formation energy from raw total energies = -1.46 eV per atom
symmetry = No. 63

Unit cell a=3.799 b=6.652 c=9.973 alpha=90.00 beta=90.00 gamma=106.59
Each line ends with the local moment (μB).
Atoms (fractional coordinates):
Sm: 0.621 0.242 0.069  0.11
Sm: 0.071 0.141 0.750  0.04
Sm: 0.621 0.242 0.431  0.11
Sm: 0.929 0.859 0.250  0.04
Sm: 0.379 0.758 0.931  0.11
Sm: 0.379 0.758 0.569  0.11
S: 0.252 0.504 0.250  -0.01
S: 0.748 0.496 0.750  -0.01
N: 0.000 0.000 0.000  -0.01
N: 0.000 0.000 0.500  -0.01
N: 0.526 0.052 0.250  0.01
N: 0.474 0.948 0.750  0.01

---

DFT (PBE) results for PmIr2Au after structural relaxation.

## Properties
symmetry = No. 123
DFT total energy = -6.698 eV per atom

Unit cell a=4.143 b=4.199 c=4.199 alpha=90.00 beta=90.00 gamma=90.00
Atoms (fractional coordinates):
Ir: 0.000 0.000 0.500
Ir: 0.000 0.500 0.000
Au: 0.500 0.000 0.000
Pm: 0.500 0.500 0.500

---

For each record above, in turn, the calculated total magnetic moment values are 0.67 0.00 μB per formula unit.
For each record above, in turn, the calculated Fermi-level density of states values are 0.3659 1.1124 states/eV per atom.